5
Lattice="3.804 0.000 0.000 0.000 3.804 0.000 0.000 0.000 3.954" Properties=species:S:1:pos:R:3 comment="HfNi2HRh PBE relaxed" final_energy_ha_per_atom=-0.2565 spacegroup="P4/mmm (123)" dos_at_fermi_per_ev_cell=0.364 e_above_lowest_polymorph_ev_per_atom=0.000 magmom_total_mub_per_fu=0.0 pbc="T T T"
Hf 0.000 0.000 0.000
Ni 0.000 1.902 1.977
Ni 1.902 0.000 1.977
H 1.902 1.902 1.977
Rh 1.902 1.902 0.000

15
Lattice="3.723 2.150 6.353 -3.723 2.150 6.353 0.000 -4.299 6.353" Properties=species:S:1:pos:R:3 comment="K3Ac3ZrO8 PBE relaxed" final_energy_ha_per_atom=-0.2565 raw_formation_energy_mev_per_atom=-2724 spacegroup="R-3m (166)" dos_at_fermi_per_ev_cell=0.000 magmom_total_mub_per_fu=0.0 pbc="T T T"
K -1.862 -1.075 6.353
K -1.862 1.075 12.707
K 0.000 2.150 6.353
Ac -3.723 0.000 9.530
Ac -1.862 1.075 3.177
Ac 1.862 1.075 3.177
Zr 0.000 0.000 9.530
O 0.000 0.000 4.431
O -1.626 -0.939 10.649
O 0.000 -1.878 8.412
O -1.626 0.939 8.412
O 1.626 -0.939 10.649
O 0.000 1.878 10.649
O 1.626 0.939 8.412
O 0.000 0.000 14.630

4
Lattice="-2.024 2.024 4.686 2.024 -2.024 4.686 2.024 2.024 -4.686" Properties=species:S:1:pos:R:3 comment="Mg2InW PBE relaxed" final_energy_ha_per_atom=-0.1568 spacegroup="I4/mmm (139)" dos_at_fermi_per_ev_cell=2.332 magmom_total_mub_per_fu=0.9 pbc="T T T"
Mg 2.024 0.000 2.343
Mg 0.000 2.024 2.343
In 0.000 0.000 0.000
W 0.000 0.000 4.686